1.
## ScSi4W (GGA-PBE)

Data for crystalline ScSi4W at its relaxed geometry.

The space group is F-43m (No. 216) and the conventional cell measures 6.993, 6.993 and 6.993 Å, with angles of 90.00, 90.00 and 90.00 degrees. Symmetry generates all atoms from Sc at (0.000, 0.000, 0.000), Si at (0.125, 0.125, 0.625) and W at (0.250, 0.250, 0.250).

The density of states at the Fermi level is 16.81 states/eV/cell. The calculation puts the calculated density at 6.6 g/cm³. The value obtained for the formation energy (no corrections) is 0.164 eV/atom.

***

2.
## Li4Tm3MgTe8 (GGA-PBE)

Data for crystalline Li4Tm3MgTe8 at its relaxed geometry.

The space group is R-3m (No. 166, hexagonal axes) and the conventional cell measures 8.5182, 8.5182 and 21.0901 Å, with angles of 90.00, 90.00 and 120.00 degrees. Symmetry generates all atoms from Li at (0.0000, 0.0000, 0.0000), Li at (0.0000, 0.5000, 0.0000), Tm at (0.0000, 0.5000, 0.5000), Mg at (0.0000, 0.0000, 0.5000), Te at (0.0000, 0.0000, 0.2518) and Te at (0.0041, 0.5020, 0.2503).

The density of states at the Fermi level is 14.66 states/eV/cell. The calculation puts the calculated density at 5.9 g/cm³. The value obtained for the formation energy (no corrections) is -1.122 eV/atom.

***

3.
## Nd6SmEr4 (GGA-PBE)

Data for crystalline Nd6SmEr4 at its relaxed geometry.

The space group is I-42m (No. 121) and the conventional cell measures 6.729, 6.729 and 16.929 Å, with angles of 90.00, 90.00 and 90.00 degrees. Symmetry generates all atoms from Nd at (0.000, 0.500, 0.000), Nd at (0.190, 0.190, 0.177), Sm at (0.000, 0.000, 0.000) and Er at (0.178, 0.178, 0.378).

The density of states at the Fermi level is 34.43 states/eV/cell. The calculation puts the calculated density at 7.3 g/cm³. The calculation puts the distance to the lowest polymorph of the same formula at 0.1978 eV/atom.

***

4.
## CsPt3S (GGA-PBE)

Data for crystalline CsPt3S at its relaxed geometry.

The space group is Pm-3m (No. 221) and the conventional cell measures 4.778, 4.778 and 4.778 Å, with angles of 90.00, 90.00 and 90.00 degrees. Symmetry generates all atoms from Cs at (0.000, 0.000, 0.000), Pt at (0.000, 0.500, 0.500) and S at (0.500, 0.500, 0.500).

The density of states at the Fermi level is 6.08 states/eV/cell. The calculation puts the calculated density at 11.4 g/cm³. The value obtained for the formation energy (no corrections) is 0.322 eV/atom. The calculation puts the distance to the lowest polymorph of the same formula at 0.0000 eV/atom.

***

5.
## Pu4InSn3 (GGA-PBE)

Data for crystalline Pu4InSn3 at its relaxed geometry.

The space group is P4/mmm (No. 123) and the conventional cell measures 3.322, 3.322 and 18.752 Å, with angles of 90.00, 90.00 and 90.00 degrees. Symmetry generates all atoms from Pu at (0.000, 0.000, 0.124), Pu at (0.000, 0.000, 0.373), In at (0.500, 0.500, 0.500), Sn at (0.500, 0.500, 0.000) and Sn at (0.500, 0.500, 0.248).

The density of states at the Fermi level is 25.23 states/eV/cell. The calculation puts the calculated density at 11.6 g/cm³. The total energy comes out at -74.77 eV/cell.

***

6.
## SrMnTe2 (GGA-PBE)

Data for crystalline SrMnTe2 at its relaxed geometry.

The space group is C2/m (No. 12) and the conventional cell measures 7.650, 7.661 and 3.936 Å, with angles of 90.00, 90.09 and 90.00 degrees. Symmetry generates all atoms from Sr at (0.000, 0.000, 0.000), Mn at (0.000, 0.500, 0.000) and Te at (0.250, 0.250, 0.500).

The density of states at the Fermi level is 2.94 states/eV/cell. The calculation puts the calculated density at 5.7 g/cm³. The value obtained for the formation energy (no corrections) is -0.483 eV/atom. The calculation puts the distance to the lowest polymorph of the same formula at 0.3445 eV/atom.

***

7.
## PmYGaAu (GGA-PBE)

Data for crystalline PmYGaAu at its relaxed geometry.

The space group is Amm2 (No. 38) and the conventional cell measures 4.558, 3.873 and 11.350 Å, with angles of 90.00, 90.00 and 90.00 degrees. Symmetry generates all atoms from Pm at (0.000, 0.000, 0.000), Y at (0.500, 0.000, 0.714), Ga at (0.000, 0.000, 0.271) and Au at (0.500, 0.000, 0.430).

The density of states at the Fermi level is 7.48 states/eV/cell. The calculation puts the calculated density at 8.3 g/cm³. The calculation puts the distance to the lowest polymorph of the same formula at 0.0000 eV/atom.

***

8.
## CrRhAu (GGA-PBE)

Data for crystalline CrRhAu at its relaxed geometry.

The space group is F-43m (No. 216) and the conventional cell measures 5.924, 5.924 and 5.924 Å, with angles of 90.00, 90.00 and 90.00 degrees. Symmetry generates all atoms from Cr at (0.000, 0.000, 0.000), Rh at (0.250, 0.250, 0.250) and Au at (0.250, 0.250, 0.750).

The density of states at the Fermi level is 11.89 states/eV/cell. The calculation puts the calculated density at 11.2 g/cm³. The calculation puts the distance to the lowest polymorph of the same formula at 0.3058 eV/atom.

***

9.
## Na3AlTc2O9 (GGA-PBE)

Data for crystalline Na3AlTc2O9 at its relaxed geometry.

The space group is P-3m1 (No. 164) and the conventional cell measures 5.3928, 5.3928 and 6.6150 Å, with angles of 90.00, 90.00 and 120.00 degrees. Symmetry generates all atoms from Na at (0.0000, 0.0000, 0.0000), Na at (0.3333, 0.6667, 0.6632), Al at (0.0000, 0.0000, 0.5000), Tc at (0.3333, 0.6667, 0.1778), O at (0.0000, 0.5000, 0.0000) and O at (0.1654, 0.3309, 0.3349).

The density of states at the Fermi level is 5.06 states/eV/cell. The calculation puts the calculated density at 4.3 g/cm³. The value obtained for the formation energy (no corrections) is -1.760 eV/atom.

***

10.
## Cr2BSeCl (GGA-PBE)

Data for crystalline Cr2BSeCl at its relaxed geometry.

The space group is P4/mmm (No. 123) and the conventional cell measures 4.310, 4.310 and 3.684 Å, with angles of 90.00, 90.00 and 90.00 degrees. Symmetry generates all atoms from Cr at (0.000, 0.500, 0.000), B at (0.000, 0.000, 0.500), Se at (0.500, 0.500, 0.500) and Cl at (0.000, 0.000, 0.000).

The density of states at the Fermi level is 7.56 states/eV/cell. The calculation puts the calculated density at 5.6 g/cm³. The value obtained for the formation energy (no corrections) is 1.463 eV/atom.

***

11.
## MgPd12Au3 (GGA-PBE)

Data for crystalline MgPd12Au3 at its relaxed geometry.

The space group is P4/mmm (No. 123) and the conventional cell measures 3.993, 3.993 and 15.953 Å, with angles of 90.00, 90.00 and 90.00 degrees. Symmetry generates all atoms from Mg at (0.000, 0.000, 0.000), Pd at (0.000, 0.500, 0.122), Pd at (0.000, 0.500, 0.374), Pd at (0.500, 0.500, 0.000), Pd at (0.500, 0.500, 0.248), Pd at (0.500, 0.500, 0.500), Au at (0.000, 0.000, 0.248) and Au at (0.000, 0.000, 0.500).

The density of states at the Fermi level is 18.79 states/eV/cell. The calculation puts the calculated density at 12.4 g/cm³. The total energy comes out at -76.26 eV/cell.

***

12.
## Sr3AsO5 (GGA-PBE)

Data for crystalline Sr3AsO5 at its relaxed geometry.

The space group is I4/mcm (No. 140) and the conventional cell measures 7.004, 7.004 and 11.695 Å, with angles of 90.00, 90.00 and 90.00 degrees. Symmetry generates all atoms from Sr at (0.000, 0.000, 0.250), Sr at (0.181, 0.319, 0.000), As at (0.000, 0.500, 0.250), O at (0.000, 0.000, 0.000) and O at (0.144, 0.356, 0.350).

The density of states at the Fermi level is 9.72 states/eV/cell. The calculation puts the calculated density at 4.8 g/cm³. The value obtained for the formation energy (no corrections) is -2.206 eV/atom.

***

13.
## Ce4Bi2SbN2 (GGA-PBE)

Data for crystalline Ce4Bi2SbN2 at its relaxed geometry.

The space group is C2/m (No. 12) and the conventional cell measures 16.520, 4.158 and 7.511 Å, with angles of 90.00, 113.85 and 90.00 degrees. Symmetry generates all atoms from Ce at (0.045, 0.000, 0.248), Ce at (0.216, 0.500, 0.653), Bi at (0.132, 0.500, 0.021), Sb at (0.000, 0.500, 0.500) and N at (0.181, 0.000, 0.479).

The density of states at the Fermi level is 26.40 states/eV/cell. The calculation puts the calculated density at 7.9 g/cm³. The value obtained for the formation energy (no corrections) is -1.093 eV/atom.

***

14.
## SrAc6Er2 (GGA-PBE)

Data for crystalline SrAc6Er2 at its relaxed geometry.

The space group is P-31m (No. 162) and the conventional cell measures 6.6620, 6.6620 and 12.3100 Å, with angles of 90.00, 90.00 and 120.00 degrees. Symmetry generates all atoms from Sr at (0.0000, 0.0000, 0.0000), Ac at (0.0000, 0.3295, 0.2749) and Er at (0.3333, 0.6667, 0.5000).

The density of states at the Fermi level is 12.46 states/eV/cell. The calculation puts the calculated density at 6.3 g/cm³. The total energy comes out at -31.09 eV/cell.

***

15.
## TbTlZnTe3 (GGA-PBE)

Data for crystalline TbTlZnTe3 at its relaxed geometry.

The space group is P2_1/m (No. 11) and the conventional cell measures 9.630, 4.379 and 10.255 Å, with angles of 90.00, 107.38 and 90.00 degrees. Symmetry generates all atoms from Tb at (0.175, 0.250, 0.141), Tl at (0.291, 0.750, 0.776), Zn at (0.416, 0.750, 0.395), Te at (0.040, 0.250, 0.829), Te at (0.289, 0.250, 0.470) and Te at (0.400, 0.750, 0.131).

The calculation puts the calculated density at 6.5 g/cm³. The value obtained for the formation energy (no corrections) is -0.826 eV/atom.

***

16.
## Ce2YTlN (GGA-PBE)

Data for crystalline Ce2YTlN at its relaxed geometry.

The space group is P4/mmm (No. 123) and the conventional cell measures 4.902, 4.902 and 4.921 Å, with angles of 90.00, 90.00 and 90.00 degrees. Symmetry generates all atoms from Ce at (0.000, 0.500, 0.000), Y at (0.000, 0.000, 0.500), Tl at (0.500, 0.500, 0.500) and N at (0.000, 0.000, 0.000).

The density of states at the Fermi level is 9.14 states/eV/cell. The calculation puts the calculated density at 8.3 g/cm³. The value obtained for the formation energy (no corrections) is -0.795 eV/atom.

***

17.
## Li2CaIn2Ag2 (GGA-PBE)

Data for crystalline Li2CaIn2Ag2 at its relaxed geometry.

The space group is C2/m (No. 12) and the conventional cell measures 8.156, 4.691 and 8.579 Å, with angles of 90.00, 108.14 and 90.00 degrees. Symmetry generates all atoms from Li at (0.078, 0.000, 0.229), Ca at (0.000, 0.500, 0.500), In at (0.134, 0.500, 0.904) and Ag at (0.243, 0.000, 0.734).

The density of states at the Fermi level is 6.24 states/eV/cell. The calculation puts the calculated density at 5.3 g/cm³. The total energy comes out at -37.11 eV/cell.

***

18.
## TcPtW2 (GGA-PBE)

Data for crystalline TcPtW2 at its relaxed geometry.

The space group is P4/mmm (No. 123) and the conventional cell measures 3.968, 3.968 and 3.921 Å, with angles of 90.00, 90.00 and 90.00 degrees. Symmetry generates all atoms from Tc at (0.000, 0.000, 0.000), Pt at (0.500, 0.500, 0.000) and W at (0.000, 0.500, 0.500).

The density of states at the Fermi level is 2.03 states/eV/cell. The calculation puts the calculated density at 17.8 g/cm³. The calculation puts the distance to the lowest polymorph of the same formula at 0.0000 eV/atom.

***

19.
## MgB4C2 (GGA-PBE)

Data for crystalline MgB4C2 at its relaxed geometry.

The space group is P4_2/mnm (No. 136) and the conventional cell measures 6.119, 6.119 and 3.866 Å, with angles of 90.00, 90.00 and 90.00 degrees. Symmetry generates all atoms from Mg at (0.000, 0.000, 0.000), B at (0.060, 0.384, 0.500) and C at (0.191, 0.191, 0.500).

The density of states at the Fermi level is 3.56 states/eV/cell. The calculation puts the calculated density at 2.1 g/cm³. The total energy comes out at -85.20 eV/cell.

***

20.
## Li2NiMo (GGA-PBE)

Data for crystalline Li2NiMo at its relaxed geometry.

The space group is Imm2 (No. 44) and the conventional cell measures 2.585, 4.632 and 8.917 Å, with angles of 90.00, 90.00 and 90.00 degrees. Symmetry generates all atoms from Li at (0.000, 0.000, 0.000), Li at (0.000, 0.500, 0.251), Ni at (0.000, 0.500, 0.731) and Mo at (0.000, 0.000, 0.471).

The density of states at the Fermi level is 6.94 states/eV/cell. The calculation puts the calculated density at 5.2 g/cm³. The calculation puts the distance to the lowest polymorph of the same formula at 0.2333 eV/atom.

***

21.
## AsPS3 (GGA-PBE)

Data for crystalline AsPS3 at its relaxed geometry.

The space group is Pm-3m (No. 221) and the conventional cell measures 4.682, 4.682 and 4.682 Å, with angles of 90.00, 90.00 and 90.00 degrees. Symmetry generates all atoms from As at (0.000, 0.000, 0.000), P at (0.500, 0.500, 0.500) and S at (0.000, 0.000, 0.500).

The density of states at the Fermi level is 4.67 states/eV/cell. The calculation puts the calculated density at 3.3 g/cm³. The value obtained for the formation energy (no corrections) is 0.979 eV/atom. The calculation puts the distance to the lowest polymorph of the same formula at 1.0859 eV/atom.

***

22.
## Mn2InSe (GGA-PBE)

Data for crystalline Mn2InSe at its relaxed geometry.

The space group is Cmmm (No. 65) and the conventional cell measures 5.841, 7.417 and 3.348 Å, with angles of 90.00, 90.00 and 90.00 degrees. Symmetry generates all atoms from Mn at (0.250, 0.250, 0.000), In at (0.000, 0.000, 0.500) and Se at (0.000, 0.500, 0.500).

The density of states at the Fermi level is 6.11 states/eV/cell. The calculation puts the calculated density at 7.0 g/cm³. The value obtained for the formation energy (no corrections) is 0.244 eV/atom. The calculation puts the distance to the lowest polymorph of the same formula at 0.2181 eV/atom.

***

23.
## CaBeAl2F (GGA-PBE)

Data for crystalline CaBeAl2F at its relaxed geometry.

The space group is P4/mmm (No. 123) and the conventional cell measures 4.570, 4.570 and 4.428 Å, with angles of 90.00, 90.00 and 90.00 degrees. Symmetry generates all atoms from Ca at (0.000, 0.000, 0.000), Be at (0.500, 0.500, 0.000), Al at (0.000, 0.500, 0.500) and F at (0.500, 0.500, 0.500).

The density of states at the Fermi level is 2.61 states/eV/cell. The calculation puts the calculated density at 2.2 g/cm³. The value obtained for the formation energy (no corrections) is -0.179 eV/atom.

***

24.
## CdHAuCl (GGA-PBE)

Data for crystalline CdHAuCl at its relaxed geometry.

The space group is Cm (No. 8) and the conventional cell measures 11.944, 3.635 and 3.928 Å, with angles of 90.00, 90.21 and 90.00 degrees. Symmetry generates all atoms from Cd at (0.000, 0.000, 0.000), H at (0.353, 0.000, 0.499), Au at (0.345, 0.500, 0.499) and Cl at (0.155, 0.500, 0.003).

The density of states at the Fermi level is 0.60 states/eV/cell. The calculation puts the calculated density at 6.7 g/cm³. The calculation puts the distance to the lowest polymorph of the same formula at 0.0005 eV/atom.

***

25.
## DyHgCl (GGA-PBE)

Data for crystalline DyHgCl at its relaxed geometry.

The space group is C2/m (No. 12) and the conventional cell measures 8.900, 3.971 and 11.479 Å, with angles of 90.00, 112.63 and 90.00 degrees. Symmetry generates all atoms from Dy at (0.047, 0.000, 0.195), Hg at (0.179, 0.500, 0.056) and Cl at (0.073, 0.500, 0.357).

The density of states at the Fermi level is 8.92 states/eV/cell. The calculation puts the calculated density at 7.1 g/cm³. The value obtained for the formation energy (no corrections) is -1.074 eV/atom.